1.
A relaxed NaAsOs crystal, computed with GGA-PBE.

Geometry as POSCAR:
```
NaAsOs
1.0
7.4646 -1.5333 0.0000
7.4646 1.5333 0.0000
-1.0723 0.0000 4.7871
Na As Os
2 2 2
Cartesian
0.6910 0.0000 1.4004
13.1658 0.0000 3.3867
5.3505 0.0000 0.7717
8.5063 0.0000 4.0154
2.9006 0.0000 3.4798
10.9562 0.0000 1.3073
```

Summary:
DFT total energy in eV/atom: -5.735
DFT formation energy in eV per formula unit: 0.0
Crystal system: monoclinic

=====

2.
A relaxed NaAsOs crystal, computed with GGA-PBE.

Geometry as POSCAR:
```
NaAsOs
1.0
-1.9435 7.2857 2.0926
1.9435 -7.2857 2.0926
1.9435 7.2857 -2.0926
Na As Os
2 2 2
Cartesian
0.0000 2.5687 0.0000
0.0000 12.0028 0.0000
0.0000 5.7104 0.1052
0.0000 8.8610 0.1052
0.0000 0.0000 1.5386
0.0000 7.2857 2.0199
```

Summary:
DFT total energy in eV/atom: -5.762
DFT formation energy in eV per formula unit: -0.1
Crystal system: orthorhombic

=====

3.
A relaxed NaAsOs2Pb crystal, computed with GGA-PBE.

Geometry as POSCAR:
```
NaAsOs2Pb
1.0
4.6172 0.0000 0.0000
0.0000 4.6172 0.0000
0.0000 0.0000 5.6336
Na As Os Pb
1 1 2 1
Cartesian
0.0000 0.0000 0.0000
2.3086 2.3086 2.8168
0.0000 2.3086 2.8168
2.3086 0.0000 2.8168
2.3086 2.3086 0.0000
```

Summary:
DFT total energy in eV/atom: -5.272
DFT formation energy in eV per formula unit: 5.8
Crystal system: tetragonal

=====

4.
A relaxed RbNa2AsOs crystal, computed with GGA-PBE.

Geometry as POSCAR:
```
RbNa2AsOs
1.0
5.6553 0.0000 0.0000
0.0000 5.6553 0.0000
0.0000 0.0000 4.6759
Rb Na As Os
1 2 1 1
Cartesian
0.0000 0.0000 0.0000
0.0000 2.8277 2.3379
2.8277 0.0000 2.3379
2.8277 2.8277 0.0000
2.8277 2.8277 2.3379
```

Summary:
DFT total energy in eV/atom: -3.655
DFT formation energy in eV per formula unit: 1.2
Crystal system: tetragonal

=====

5.
A relaxed NaAs2OsSe crystal, computed with GGA-PBE.

Geometry as POSCAR:
```
NaAs2OsSe
1.0
4.6685 0.0000 0.0000
0.0000 4.6685 0.0000
0.0000 0.0000 5.8099
Na As Os Se
1 2 1 1
Cartesian
0.0000 0.0000 0.0000
0.0000 2.3342 2.9049
2.3342 0.0000 2.9049
2.3342 2.3342 2.9049
2.3342 2.3342 0.0000
```

Summary:
DFT total energy in eV/atom: -4.838
Energy relative to the elements, uncorrected in eV per atom: 0.23
Crystal system: tetragonal

=====

6.
A relaxed NaAs2OsSe crystal, computed with GGA-PBE.

Geometry as POSCAR:
```
NaAs2OsSe
1.0
4.8744 0.0000 0.0000
0.0000 4.8744 0.0000
0.0000 0.0000 4.8175
Na As Os Se
1 2 1 1
Cartesian
0.0000 0.0000 0.0000
0.0000 2.4372 0.0000
2.4372 0.0000 0.0000
2.4372 2.4372 2.4087
0.0000 0.0000 2.4087
```

Summary:
DFT total energy in eV/atom: -3.208
Energy relative to the elements, uncorrected in eV per atom: 1.86
Crystal system: tetragonal